The following is a PBE-GGA calculation of a relaxed structure of ZnCuI2, from Alexandria.

Calculated values
distance to the lowest polymorph of the same formula: 0.3689 eV per atom
total energy: -1.735 eV per atom
energy relative to the elements, uncorrected: 382.3 meV per atom

The structure in extended XYZ format:
```
4
Lattice="-4.555 -0.299 2.568 -4.515 0.515 -2.606 -3.122 -4.151 -0.678" Properties=species:S:1:pos:R:3 pbc="T T T"
I -3.048 -0.984 -0.179
I -9.144 -2.951 -0.536
Zn -6.096 -1.967 -0.358
Cu 0.000 0.000 0.000
```



The following is a PBE-GGA calculation of a relaxed structure of Cs4Nd3ThSe8, from Alexandria.

Calculated values
total energy: -4.996 eV per atom
energy relative to the elements, uncorrected: -1683.0 meV per atom

The structure in extended XYZ format:
```
16
Lattice="8.758 0.000 0.000 0.000 9.805 0.733 -4.379 -4.378 6.194" Properties=species:S:1:pos:R:3 pbc="T T T"
Cs 4.379 0.000 0.000
Cs 2.190 -2.189 3.097
Cs 0.000 0.000 0.000
Cs -2.190 -2.189 3.097
Nd 4.379 4.903 0.367
Nd 2.190 2.713 3.464
Nd -2.190 2.713 3.464
Th 0.000 4.903 0.367
Se -2.229 2.557 6.478
Se 0.000 4.786 3.326
Se 0.000 0.662 3.561
Se 2.229 2.557 6.478
Se 2.150 2.870 0.449
Se 4.379 4.764 3.367
Se 4.379 0.641 3.602
Se 6.609 2.870 0.449
```



Q: What is the energy relative to the elements, uncorrected in the second record?
A: -1683.0 meV per atom



Q: What is the energy relative to the elements, uncorrected in the first record?
A: 382.3 meV per atom



Q: Which value of total energy does entry 1 give?
A: -1.735 eV per atom



Q: What is the energy relative to the elements, uncorrected in the first record?
A: 382.3 meV per atom